# 1
Material: Ba8AgPd2
Method: DFT, PBE
State: relaxed

abc: 14.406 11.659 6.762
angles: 90.00 94.00 90.00
Space group C2/m (No. 12)
One atom of each set of equivalent atoms:
Ba  0.108  0.000  0.247 (multiplicity 4)
Ba  0.115  0.269  0.734 (multiplicity 8)
Ba  0.169  0.500  0.216 (multiplicity 4)
Ag  0.000  0.500  0.500 (multiplicity 2)
Pd  0.113  0.000  0.747 (multiplicity 4)


# 2
Material: BaAg2Pd
Method: DFT, PBE
State: relaxed

abc: 4.592 11.139 7.988
angles: 90.00 90.00 90.00
Space group Cmcm (No. 63)
One atom of each set of equivalent atoms:
Ba  0.000  0.059  0.250 (multiplicity 4)
Ag  0.000  0.334  0.063 (multiplicity 8)
Pd  0.000  0.222  0.750 (multiplicity 4)

Results
Energy above the most stable polymorph in this dataset (meV per atom): 9


# 3
Material: BaAg2Pd
Method: DFT, PBE
State: relaxed

abc: 4.7416 4.7416 16.5313
angles: 90.00 90.00 120.00
Space group R-3m (No. 166, hexagonal axes)
One atom of each set of equivalent atoms:
Ba  0.0000  0.0000  0.0000 (multiplicity 3)
Ag  0.0000  0.0000  0.1975 (multiplicity 6)
Pd  0.0000  0.0000  0.5000 (multiplicity 3)

Results
Energy above the most stable polymorph in this dataset (meV per atom): 46


# 4
Material: Ba8Ag2Pd
Method: DFT, PBE
State: relaxed

abc: 21.633 5.830 7.994
angles: 90.00 103.42 90.00
Space group C2/m (No. 12)
One atom of each set of equivalent atoms:
Ba  0.036  0.000  0.306 (multiplicity 4)
Ba  0.087  0.500  0.913 (multiplicity 4)
Ba  0.159  0.500  0.469 (multiplicity 4)
Ba  0.213  0.000  0.828 (multiplicity 4)
Ag  0.192  0.000  0.237 (multiplicity 4)
Pd  0.000  0.500  0.500 (multiplicity 2)

Results
Energy above the most stable polymorph in this dataset (meV per atom): 49


# 5
Material: Ba19Ag4Pd6
Method: DFT, PBE
State: relaxed

abc: 14.123 14.123 14.123
angles: 90.00 90.00 90.00
Space group I23 (No. 197)
One atom of each set of equivalent atoms:
Ba  0.000  0.000  0.000 (multiplicity 2)
Ba  0.000  0.000  0.341 (multiplicity 12)
Ba  0.060  0.315  0.713 (multiplicity 24)
Ag  0.138  0.138  0.862 (multiplicity 8)
Pd  0.000  0.334  0.500 (multiplicity 12)


# 6
Material: BaAg2Pd
Method: DFT, PBE
State: relaxed

abc: 7.362 7.362 7.362
angles: 90.00 90.00 90.00
Space group Fm-3m (No. 225)
One atom of each set of equivalent atoms:
Ba  0.000  0.000  0.000 (multiplicity 4)
Ag  0.250  0.250  0.250 (multiplicity 8)
Pd  0.000  0.000  0.500 (multiplicity 4)

Results
Energy above the most stable polymorph in this dataset (meV per atom): 308


# 7
Material: BaAg3Pd
Method: DFT, PBE
State: relaxed

abc: 5.203 5.203 5.203
angles: 90.00 90.00 90.00
Space group Pm-3m (No. 221)
One atom of each set of equivalent atoms:
Ba  0.000  0.000  0.000 (multiplicity 1)
Ag  0.000  0.500  0.500 (multiplicity 3)
Pd  0.500  0.500  0.500 (multiplicity 1)

Results
Energy above the most stable polymorph in this dataset (meV per atom): 179


# 8
Material: Ba3AgPd
Method: DFT, PBE
State: relaxed

abc: 6.162 6.162 6.162
angles: 90.00 90.00 90.00
Space group Pm-3m (No. 221)
One atom of each set of equivalent atoms:
Ba  0.000  0.000  0.500 (multiplicity 3)
Ag  0.500  0.500  0.500 (multiplicity 1)
Pd  0.000  0.000  0.000 (multiplicity 1)

Results
Energy above the most stable polymorph in this dataset (meV per atom): 173


# 9
Material: BaAg2Pd2
Method: DFT, PBE
State: relaxed

abc: 4.318 4.318 12.390
angles: 90.00 90.00 90.00
Space group I4/mmm (No. 139)
One atom of each set of equivalent atoms:
Ba  0.000  0.000  0.000 (multiplicity 2)
Ag  0.000  0.500  0.250 (multiplicity 4)
Pd  0.000  0.000  0.393 (multiplicity 4)

Results
Energy above the most stable polymorph in this dataset (meV per atom): 0


# 10
Material: Ba6AgPd3
Method: DFT, PBE
State: relaxed

abc: 13.421 4.702 13.612
angles: 90.00 109.44 90.00
Space group P2_1/m (No. 11)
One atom of each set of equivalent atoms:
Ba  0.034  0.250  0.392 (multiplicity 2)
Ba  0.109  0.250  0.945 (multiplicity 2)
Ba  0.222  0.750  0.263 (multiplicity 2)
Ba  0.288  0.750  0.757 (multiplicity 2)
Ba  0.376  0.250  0.537 (multiplicity 2)
Ba  0.426  0.750  0.092 (multiplicity 2)
Ag  0.447  0.250  0.301 (multiplicity 2)
Pd  0.055  0.250  0.164 (multiplicity 2)
Pd  0.195  0.750  0.498 (multiplicity 2)
Pd  0.343  0.250  0.922 (multiplicity 2)


# 11
Material: Ba3AgPd
Method: DFT, PBE
State: relaxed

abc: 9.448 4.628 9.986
angles: 90.00 101.09 90.00
Space group P2_1/m (No. 11)
One atom of each set of equivalent atoms:
Ba  0.073  0.250  0.332 (multiplicity 2)
Ba  0.278  0.250  0.975 (multiplicity 2)
Ba  0.387  0.750  0.628 (multiplicity 2)
Ag  0.340  0.750  0.247 (multiplicity 2)
Pd  0.163  0.250  0.658 (multiplicity 2)

Results
Energy above the most stable polymorph in this dataset (meV per atom): 22


# 12
Material: Ba7Ag2Pd2
Method: DFT, PBE
State: relaxed

abc: 4.603 17.766 11.008
angles: 90.00 90.00 90.00
Space group Imm2 (No. 44)
One atom of each set of equivalent atoms:
Ba  0.000  0.000  0.000 (multiplicity 2)
Ba  0.000  0.118  0.406 (multiplicity 4)
Ba  0.000  0.313  0.610 (multiplicity 4)
Ba  0.000  0.361  0.248 (multiplicity 4)
Ag  0.000  0.000  0.666 (multiplicity 2)
Ag  0.000  0.500  0.735 (multiplicity 2)
Pd  0.000  0.242  0.908 (multiplicity 4)

Results
Energy above the most stable polymorph in this dataset (meV per atom): 0


# 13
Material: BaAg3Pd
Method: DFT, PBE
State: relaxed

abc: 6.033 13.484 5.753
angles: 90.00 90.00 90.00
Space group Cmcm (No. 63)
One atom of each set of equivalent atoms:
Ba  0.000  0.100  0.250 (multiplicity 4)
Ag  0.000  0.316  0.750 (multiplicity 4)
Ag  0.236  0.354  0.250 (multiplicity 8)
Pd  0.000  0.500  0.000 (multiplicity 4)

Results
Energy above the most stable polymorph in this dataset (meV per atom): 0


# 14
Material: BaAg2Pd2
Method: DFT, PBE
State: relaxed

abc: 4.708 4.708 10.779
angles: 90.00 90.00 90.00
Space group I4/mmm (No. 139)
One atom of each set of equivalent atoms:
Ba  0.000  0.000  0.000 (multiplicity 2)
Ag  0.000  0.000  0.375 (multiplicity 4)
Pd  0.000  0.500  0.250 (multiplicity 4)

Results
Energy above the most stable polymorph in this dataset (meV per atom): 50


# 15
Material: BaAg3Pd
Method: DFT, PBE
State: relaxed

abc: 6.8323 6.8323 6.0913
angles: 90.00 90.00 120.00
Space group P6_3/mmc (No. 194)
One atom of each set of equivalent atoms:
Ba  0.3333  0.6667  0.2500 (multiplicity 2)
Ag  0.1945  0.3890  0.7500 (multiplicity 6)
Pd  0.0000  0.0000  0.0000 (multiplicity 2)

Results
Energy above the most stable polymorph in this dataset (meV per atom): 43


# 16
Material: Ba3AgPd
Method: DFT, PBE
State: relaxed

abc: 4.683 15.194 11.673
angles: 90.00 90.00 90.00
Space group Cmcm (No. 63)
One atom of each set of equivalent atoms:
Ba  0.000  0.081  0.250 (multiplicity 4)
Ba  0.000  0.364  0.061 (multiplicity 8)
Ag  0.000  0.250  0.750 (multiplicity 4)
Pd  0.000  0.000  0.000 (multiplicity 4)

Results
Energy above the most stable polymorph in this dataset (meV per atom): 0


# 17
Material: Ba3Ag3Pd
Method: DFT, PBE
State: relaxed

abc: 12.314 4.649 17.406
angles: 90.00 109.68 90.00
Space group C2/m (No. 12)
One atom of each set of equivalent atoms:
Ba  0.029  0.000  0.263 (multiplicity 4)
Ba  0.176  0.000  0.579 (multiplicity 4)
Ba  0.179  0.500  0.093 (multiplicity 4)
Ag  0.032  0.500  0.423 (multiplicity 4)
Ag  0.053  0.000  0.941 (multiplicity 4)
Ag  0.178  0.500  0.734 (multiplicity 4)
Pd  0.104  0.500  0.870 (multiplicity 4)


# 18
Material: BaAg2Pd2
Method: DFT, PBE
State: relaxed

abc: 4.558 4.558 22.769
angles: 90.00 90.00 90.00
Space group I4/mmm (No. 139)
One atom of each set of equivalent atoms:
Ba  0.000  0.000  0.128 (multiplicity 4)
Ag  0.000  0.000  0.316 (multiplicity 4)
Ag  0.000  0.500  0.000 (multiplicity 4)
Pd  0.000  0.000  0.434 (multiplicity 4)
Pd  0.000  0.500  0.250 (multiplicity 4)

Results
Energy above the most stable polymorph in this dataset (meV per atom): 16


# 19
Material: Ba4Ag5Pd2
Method: DFT, PBE
State: relaxed

abc: 7.959 4.481 9.493
angles: 90.00 92.68 90.00
Space group P2/m (No. 10)
One atom of each set of equivalent atoms:
Ba  0.216  0.000  0.149 (multiplicity 2)
Ba  0.244  0.000  0.617 (multiplicity 2)
Ag  0.139  0.500  0.884 (multiplicity 2)
Ag  0.414  0.500  0.367 (multiplicity 2)
Ag  0.500  0.500  0.000 (multiplicity 1)
Pd  0.062  0.500  0.368 (multiplicity 2)


# 20
Material: Ba3Ag4Pd2
Method: DFT, PBE
State: relaxed

abc: 12.118 4.807 9.393
angles: 90.00 105.84 90.00
Space group C2/m (No. 12)
One atom of each set of equivalent atoms:
Ba  0.000  0.000  0.000 (multiplicity 2)
Ba  0.172  0.500  0.658 (multiplicity 4)
Ag  0.050  0.000  0.382 (multiplicity 4)
Ag  0.222  0.500  0.060 (multiplicity 4)
Pd  0.107  0.500  0.276 (multiplicity 4)


# 21
Material: Ba8Ag2Pd
Method: DFT, PBE
State: relaxed

abc: 14.438 10.393 7.939
angles: 90.00 108.44 90.00
Space group C2/m (No. 12)
One atom of each set of equivalent atoms:
Ba  0.079  0.000  0.275 (multiplicity 4)
Ba  0.130  0.500  0.246 (multiplicity 4)
Ba  0.145  0.295  0.742 (multiplicity 8)
Ag  0.184  0.000  0.948 (multiplicity 4)
Pd  0.000  0.500  0.500 (multiplicity 2)

Results
Energy above the most stable polymorph in this dataset (meV per atom): 0


# 22
Material: BaAg8Pd2
Method: DFT, PBE
State: relaxed

abc: 5.651 5.651 9.169
angles: 90.00 90.00 90.00
Space group P4/mmm (No. 123)
One atom of each set of equivalent atoms:
Ba  0.000  0.000  0.000 (multiplicity 1)
Ag  0.252  0.252  0.297 (multiplicity 8)
Pd  0.000  0.500  0.500 (multiplicity 2)


no.,electronic total energy (eV per cell),N(E_F) (states/eV/cell),theoretical density (g/cm³)
1,-62.372,17.0,4.16
2,-55.873,4.3,7.47
3,-41.460,3.4,7.11
4,-55.726,27.4,4.81
5,-171.136,43.6,4.34
6,-51.087,8.8,7.65
7,-15.736,1.6,6.69
8,-14.648,3.4,4.44
9,-38.485,2.8,8.13
10,-67.791,12.0,5.13
11,-30.809,7.3,4.85
12,-65.494,17.4,5.13
13,-66.513,8.9,8.05
14,-37.986,2.6,7.87
15,-32.827,3.1,7.65
16,-62.050,14.2,5.01
17,-87.306,18.5,5.96
18,-76.645,7.1,7.95
19,-35.735,3.6,6.39
20,-61.479,6.8,6.66
21,-56.798,21.5,4.18
22,-32.826,2.8,6.88